(1)
BaCoCuTe3 | PBE | optimized geometry

Unit cell a=7.4434 b=7.4434 c=10.5903 alpha=90.00 beta=90.00 gamma=147.85
Fractional coordinates of all 12 atoms:
1 Ba 0.7681 0.2319 0.2500
2 Ba 0.2319 0.7681 0.7500
3 Co 0.0000 0.0000 0.0000
4 Co 0.0000 0.0000 0.5000
5 Cu 0.4577 0.5423 0.2500
6 Cu 0.5423 0.4577 0.7500
7 Te 0.3833 0.6167 0.0271
8 Te 0.0641 0.9359 0.2500
9 Te 0.3833 0.6167 0.4729
10 Te 0.6167 0.3833 0.5271
11 Te 0.9359 0.0641 0.7500
12 Te 0.6167 0.3833 0.9729

Computed properties:
For the raw total energy, the calculation gives -25.01 eV per formula unit. For the magnetization, the calculation gives 0.25 μB per formula unit.

(2)
ErZrAs | PBE | optimized geometry

Unit cell a=4.6478 b=4.6478 c=4.6478 alpha=60.00 beta=60.00 gamma=60.00
Fractional coordinates of all 3 atoms:
1 As 0.0000 0.0000 0.0000
2 Er 0.2500 0.2500 0.2500
3 Zr 0.7500 0.7500 0.7500

Computed properties:
For the raw total energy, the calculation gives -19.52 eV per formula unit. For the magnetization, the calculation gives 0.67 μB per formula unit.

(3)
SrSi2AgAu | PBE | optimized geometry

Unit cell a=6.0432 b=6.0432 c=6.0432 alpha=137.09 beta=137.09 gamma=62.30
Fractional coordinates of all 5 atoms:
1 Ag 0.2500 0.7500 0.5000
2 Au 0.7500 0.2500 0.5000
3 Si 0.1137 0.1137 0.0000
4 Si 0.8863 0.8863 0.0000
5 Sr 0.5000 0.5000 0.0000

Computed properties:
For the raw total energy, the calculation gives -20.65 eV per formula unit.

(4)
GdDyBe2Ge2 | PBE | optimized geometry

Unit cell a=3.9277 b=3.9277 c=8.1466 alpha=90.00 beta=90.00 gamma=120.00
Fractional coordinates of all 6 atoms:
1 Be 0.6667 0.3333 0.2487
2 Be 0.3333 0.6667 0.7513
3 Dy 0.0000 0.0000 0.0000
4 Gd 0.0000 0.0000 0.5000
5 Ge 0.3333 0.6667 0.2480
6 Ge 0.6667 0.3333 0.7520

Computed properties:
For the raw total energy, the calculation gives -30.00 eV per formula unit. For the magnetization, the calculation gives 0.00 μB per formula unit.

(5)
LiNbInCo | PBE | optimized geometry

Unit cell a=4.4632 b=4.4632 c=4.4632 alpha=60.00 beta=60.00 gamma=60.00
Fractional coordinates of all 4 atoms:
1 Co 0.7500 0.7500 0.7500
2 In 0.0000 0.0000 0.0000
3 Li 0.5000 0.5000 0.5000
4 Nb 0.2500 0.2500 0.2500

Computed properties:
The energy above the lowest structure with this stoichiometry is 52.8 kJ/mol of atoms. For the magnetization, the calculation gives 0.42 μB per formula unit.

(6)
Nd2Ho2CIBr4 | PBE | optimized geometry

Unit cell a=9.2126 b=9.2126 c=8.4888 alpha=103.66 beta=103.66 gamma=24.37
Fractional coordinates of all 10 atoms:
1 Br 0.8339 0.8339 0.1791
2 Br 0.1612 0.1612 0.3439
3 Br 0.8388 0.8388 0.6561
4 Br 0.1661 0.1661 0.8209
5 C 0.5000 0.5000 0.0000
6 Ho 0.9997 0.9997 0.1904
7 Ho 0.0003 0.0003 0.8096
8 I 0.5000 0.5000 0.5000
9 Nd 0.6440 0.6440 0.0755
10 Nd 0.3560 0.3560 0.9245

Computed properties:
The energy above the lowest structure with this stoichiometry is 0.4 kJ/mol of atoms. For the magnetization, the calculation gives 0.30 μB per formula unit.

(7)
HfBeRe2 | PBE | optimized geometry

Unit cell a=4.3948 b=4.3948 c=4.3948 alpha=60.00 beta=60.00 gamma=60.00
Fractional coordinates of all 4 atoms:
1 Be 0.5000 0.5000 0.5000
2 Hf 0.2500 0.2500 0.2500
3 Re 0.0000 0.0000 0.0000
4 Re 0.7500 0.7500 0.7500

Computed properties:
For the raw total energy, the calculation gives -38.33 eV per formula unit. For the magnetization, the calculation gives 0.00 μB per formula unit.

(8)
Li2Mg2AlInPd2 | PBE | optimized geometry

Unit cell a=4.5023 b=4.5023 c=6.4151 alpha=90.00 beta=90.00 gamma=90.00
Fractional coordinates of all 8 atoms:
1 Al 0.5000 0.5000 0.0000
2 In 0.0000 0.0000 0.5000
3 Li 0.0000 0.5000 0.2390
4 Li 0.5000 0.0000 0.7610
5 Mg 0.0000 0.0000 0.0000
6 Mg 0.5000 0.5000 0.5000
7 Pd 0.5000 0.0000 0.2302
8 Pd 0.0000 0.5000 0.7698

Computed properties:
For the raw total energy, the calculation gives -28.20 eV per formula unit.

(9)
ThGa3Bi | PBE | optimized geometry

Unit cell a=5.6681 b=5.6681 c=5.6681 alpha=90.00 beta=90.00 gamma=90.00
Fractional coordinates of all 5 atoms:
1 Bi 0.0000 0.0000 0.0000
2 Ga 0.5000 0.5000 0.0000
3 Ga 0.5000 0.0000 0.5000
4 Ga 0.0000 0.5000 0.5000
5 Th 0.5000 0.5000 0.5000

Computed properties:
For the raw total energy, the calculation gives -16.67 eV per formula unit. For the magnetization, the calculation gives 0.01 μB per formula unit.

(10)
Na2MgPdS4 | PBE | optimized geometry

Unit cell a=6.1804 b=6.1804 c=6.1804 alpha=113.52 beta=113.52 gamma=101.64
Fractional coordinates of all 8 atoms:
1 Mg 0.0000 0.0000 0.0000
2 Na 0.5000 0.5000 0.0000
3 Na 0.7500 0.2500 0.5000
4 Pd 0.2500 0.7500 0.5000
5 S 0.0923 0.6477 0.0493
6 S 0.3523 0.4015 0.4446
7 S 0.9570 0.9077 0.5554
8 S 0.5985 0.0430 0.9507

Computed properties:
For the raw total energy, the calculation gives -30.86 eV per formula unit.

(11)
Pr3Zn11 | PBE | optimized geometry

Unit cell a=8.3265 b=8.3265 c=8.3265 alpha=148.80 beta=115.50 gamma=73.39
Fractional coordinates of all 14 atoms:
1 Pr 0.0000 0.0000 0.0000
2 Pr 0.2966 0.2966 0.0000
3 Pr 0.7034 0.7034 0.0000
4 Zn 0.6849 0.5000 0.1849
5 Zn 0.4203 0.1386 0.2817
6 Zn 0.1431 0.8614 0.2817
7 Zn 0.7013 0.3423 0.3590
8 Zn 0.0167 0.6577 0.3590
9 Zn 0.5000 0.0000 0.5000
10 Zn 0.9833 0.3423 0.6410
11 Zn 0.2987 0.6577 0.6410
12 Zn 0.8569 0.1386 0.7183
13 Zn 0.5797 0.8614 0.7183
14 Zn 0.3151 0.5000 0.8151

Computed properties:
Its formation energy is -0.33 eV/atom. For the magnetization, the calculation gives 0.00 μB per formula unit.

(12)
PaAl2Re | PBE | optimized geometry

Unit cell a=4.4658 b=6.9820 c=5.1104 alpha=90.00 beta=108.07 gamma=90.00
Fractional coordinates of all 8 atoms:
1 Al 0.0985 0.5555 0.2786
2 Al 0.0985 0.9445 0.2786
3 Al 0.9015 0.0555 0.7214
4 Al 0.9015 0.4445 0.7214
5 Pa 0.5362 0.2500 0.1516
6 Pa 0.4638 0.7500 0.8484
7 Re 0.6364 0.7500 0.3899
8 Re 0.3636 0.2500 0.6101

Computed properties:
For the raw total energy, the calculation gives -30.68 eV per formula unit. For the magnetization, the calculation gives 0.00 μB per formula unit.

(13)
HfCoBPd | PBE | optimized geometry

Unit cell a=4.2594 b=4.2594 c=4.2594 alpha=60.00 beta=60.00 gamma=60.00
Fractional coordinates of all 4 atoms:
1 B 0.0000 0.0000 0.0000
2 Co 0.7500 0.7500 0.7500
3 Hf 0.2500 0.2500 0.2500
4 Pd 0.5000 0.5000 0.5000

Computed properties:
The energy above the lowest structure with this stoichiometry is 5.1 kJ/mol of atoms. For the magnetization, the calculation gives 1.30 μB per formula unit.

(14)
ScAgBAu | PBE | optimized geometry

Unit cell a=4.4689 b=4.4689 c=4.4689 alpha=60.00 beta=60.00 gamma=60.00
Fractional coordinates of all 4 atoms:
1 Ag 0.0000 0.0000 0.0000
2 Au 0.7500 0.7500 0.7500
3 B 0.5000 0.5000 0.5000
4 Sc 0.2500 0.2500 0.2500

Computed properties:
The energy above the lowest structure with this stoichiometry is 2.3 kJ/mol of atoms. For the magnetization, the calculation gives 0.00 μB per formula unit.

(15)
Zr4CdInB2 | PBE | optimized geometry

Unit cell a=3.4345 b=3.4345 c=15.5115 alpha=90.00 beta=90.00 gamma=120.00
Fractional coordinates of all 8 atoms:
1 B 0.3333 0.6667 0.2507
2 B 0.3333 0.6667 0.7493
3 Cd 0.0000 0.0000 0.0000
4 In 0.6667 0.3333 0.5000
5 Zr 0.6667 0.3333 0.1663
6 Zr 0.0000 0.0000 0.3352
7 Zr 0.0000 0.0000 0.6648
8 Zr 0.6667 0.3333 0.8337

Computed properties:
For the raw total energy, the calculation gives -54.11 eV per formula unit. For the magnetization, the calculation gives 0.00 μB per formula unit.

(16)
DyTmB | PBE | optimized geometry

Unit cell a=4.4914 b=4.4914 c=4.4914 alpha=60.00 beta=60.00 gamma=60.00
Fractional coordinates of all 3 atoms:
1 B 0.0000 0.0000 0.0000
2 Dy 0.2500 0.2500 0.2500
3 Tm 0.7500 0.7500 0.7500

Computed properties:
The energy above the lowest structure with this stoichiometry is 0.0 kJ/mol of atoms. For the magnetization, the calculation gives 0.01 μB per formula unit.

(17)
TbBPO | PBE | optimized geometry

Unit cell a=5.6680 b=5.6680 c=4.2260 alpha=90.00 beta=90.00 gamma=90.00
Fractional coordinates of all 8 atoms:
1 B 0.0000 0.5000 0.3711
2 B 0.5000 0.0000 0.6289
3 O 0.0000 0.0000 0.0000
4 O 0.5000 0.5000 0.0000
5 P 0.5000 0.0000 0.2048
6 P 0.0000 0.5000 0.7952
7 Tb 0.0000 0.0000 0.5000
8 Tb 0.5000 0.5000 0.5000

Computed properties:
The energy above the lowest structure with this stoichiometry is 82.2 kJ/mol of atoms. For the magnetization, the calculation gives 0.00 μB per formula unit.

(18)
BeNiGe2 | PBE | optimized geometry

Unit cell a=4.2800 b=4.2800 c=4.2800 alpha=60.00 beta=60.00 gamma=60.00
Fractional coordinates of all 4 atoms:
1 Be 0.2500 0.2500 0.2500
2 Ge 0.5000 0.5000 0.5000
3 Ge 0.7500 0.7500 0.7500
4 Ni 0.0000 0.0000 0.0000

Computed properties:
For the raw total energy, the calculation gives -17.14 eV per formula unit. For the magnetization, the calculation gives 0.00 μB per formula unit.

(19)
Nb2ZnB | PBE | optimized geometry

Unit cell a=3.2175 b=3.2175 c=13.7995 alpha=90.00 beta=90.00 gamma=120.00
Fractional coordinates of all 8 atoms:
1 B 0.0000 0.0000 0.0000
2 B 0.0000 0.0000 0.5000
3 Nb 0.3333 0.6667 0.0908
4 Nb 0.3333 0.6667 0.4092
5 Nb 0.6667 0.3333 0.5908
6 Nb 0.6667 0.3333 0.9092
7 Zn 0.6667 0.3333 0.2500
8 Zn 0.3333 0.6667 0.7500

Computed properties:
The energy above the lowest structure with this stoichiometry is 0.0 kJ/mol of atoms. For the magnetization, the calculation gives 0.00 μB per formula unit.

(20)
Al10Ni3 | PBE | optimized geometry

Unit cell a=9.3115 b=9.3115 c=9.3115 alpha=31.52 beta=31.52 gamma=31.52
Fractional coordinates of all 13 atoms:
1 Al 0.5892 0.0900 0.0900
2 Al 0.0900 0.5892 0.0900
3 Al 0.1658 0.1658 0.1658
4 Al 0.3494 0.3494 0.3494
5 Al 0.9100 0.9100 0.4108
6 Al 0.0900 0.0900 0.5892
7 Al 0.6506 0.6506 0.6506
8 Al 0.8342 0.8342 0.8342
9 Al 0.9100 0.4108 0.9100
10 Al 0.4108 0.9100 0.9100
11 Ni 0.0000 0.0000 0.0000
12 Ni 0.4409 0.4409 0.4409
13 Ni 0.5591 0.5591 0.5591

Computed properties:
The energy above the lowest structure with this stoichiometry is 0.0 kJ/mol of atoms. For the magnetization, the calculation gives 0.01 μB per formula unit.